# 1
Ni5Pt3: optimized geometry, PBEsol.

Computed properties:
Energy of formation from the pure elements in eV per atom: -0.0636
VASP energy in eV/atom: -6.523
Magnetization in μB/f.u.: 4.47
Volume in Å³ per atom: 12.26

abc: 3.698 5.150 5.150
angles: 91.46 90.00 90.00
Element x y z (fractional)
1 Ni 0.500 0.750 0.750
2 Ni 0.000 0.000 0.000
3 Ni 0.500 0.250 0.250
4 Ni 0.000 0.500 0.000
5 Ni 0.000 0.000 0.500
6 Pt 0.500 0.761 0.239
7 Pt 0.500 0.239 0.761
8 Pt 0.000 0.500 0.500


# 2
NiPt3: optimized geometry, PBEsol.

Computed properties:
Energy of formation from the pure elements in eV per atom: -0.0081
VASP energy in eV/atom: -6.770
Magnetization in μB/f.u.: 1.69
Volume in Å³ per atom: 14.07

abc: 4.705 5.390 8.876
angles: 90.00 90.00 90.00
Element x y z (fractional)
1 Pt 0.255 0.872 0.504
2 Pt 0.755 0.628 0.504
3 Pt 0.255 0.872 0.996
4 Pt 0.919 0.884 0.250
5 Pt 0.245 0.372 0.004
6 Pt 0.245 0.372 0.496
7 Pt 0.755 0.628 0.996
8 Pt 0.419 0.616 0.250
9 Pt 0.745 0.128 0.496
10 Pt 0.581 0.384 0.750
11 Pt 0.081 0.116 0.750
12 Pt 0.745 0.128 0.004
13 Ni 0.916 0.376 0.250
14 Ni 0.084 0.624 0.750
15 Ni 0.416 0.124 0.250
16 Ni 0.584 0.876 0.750


# 3
NiPt: optimized geometry, PBEsol.

Computed properties:
Energy of formation from the pure elements in eV per atom: -0.0328
VASP energy in eV/atom: -6.593
Magnetization in μB/f.u.: 0.97
Volume in Å³ per atom: 12.92

abc: 4.549 4.549 7.918
angles: 90.00 90.00 108.85
Element x y z (fractional)
1 Ni 0.500 0.500 0.004
2 Ni 0.000 0.500 0.164
3 Ni 0.000 0.000 0.012
4 Ni 0.000 0.000 0.320
5 Ni 0.000 0.000 0.671
6 Ni 0.500 0.000 0.164
7 Pt 0.500 0.000 0.492
8 Pt 0.500 0.500 0.670
9 Pt 0.000 0.500 0.849
10 Pt 0.000 0.500 0.492
11 Pt 0.500 0.000 0.849
12 Pt 0.500 0.500 0.313


# 4
NiPt2: optimized geometry, PBEsol.

Computed properties:
Energy of formation from the pure elements in eV per atom: -0.0224
VASP energy in eV/atom: -6.717
Magnetization in μB/f.u.: 1.12
Volume in Å³ per atom: 13.71

abc: 5.384 5.384 6.552
angles: 90.00 90.00 120.00
Element x y z (fractional)
1 Ni 0.658 0.829 0.004
2 Ni 0.171 0.342 0.004
3 Ni 0.171 0.829 0.004
4 Ni 0.333 0.667 0.324
5 Pt 0.498 0.995 0.672
6 Pt 0.000 0.000 0.682
7 Pt 0.667 0.333 0.000
8 Pt 0.835 0.670 0.322
9 Pt 0.330 0.165 0.322
10 Pt 0.498 0.502 0.672
11 Pt 0.835 0.165 0.322
12 Pt 0.005 0.502 0.672


# 5
Ni3Pt2: optimized geometry, PBEsol.

Computed properties:
Energy of formation from the pure elements in eV per atom: 0.0153
VASP energy in eV/atom: -6.465
Offset from the most stable computed form in eV/f.u.: 0.27
Magnetization in μB/f.u.: 2.54
Volume in Å³ per atom: 12.53

abc: 2.649 4.501 10.594
angles: 97.33 90.00 90.00
Element x y z (fractional)
1 Pt 0.750 0.660 0.219
2 Pt 0.250 0.751 0.995
3 Pt 0.250 0.340 0.781
4 Pt 0.750 0.249 0.005
5 Ni 0.250 0.157 0.216
6 Ni 0.750 0.060 0.409
7 Ni 0.750 0.451 0.590
8 Ni 0.250 0.549 0.410
9 Ni 0.250 0.940 0.591
10 Ni 0.750 0.843 0.784


# 6
NiPt: optimized geometry, PBEsol.

Computed properties:
Energy of formation from the pure elements in eV per atom: -0.0240
VASP energy in eV/atom: -6.585
Magnetization in μB/f.u.: 0.91
Volume in Å³ per atom: 12.81

abc: 2.691 2.691 7.076
angles: 90.00 90.00 90.00
Element x y z (fractional)
1 Pt 0.000 0.500 0.354
2 Pt 0.500 0.000 0.646
3 Ni 0.000 0.500 0.894
4 Ni 0.500 0.000 0.106


# 7
NiPt2: optimized geometry, PBEsol.

Computed properties:
Energy of formation from the pure elements in eV per atom: -0.0283
VASP energy in eV/atom: -6.723
Magnetization in μB/f.u.: 1.18
Volume in Å³ per atom: 13.66

abc: 4.637 6.002 6.002
angles: 84.39 82.85 82.85
Element x y z (fractional)
1 Pt 0.744 0.918 0.582
2 Pt 0.744 0.582 0.918
3 Pt 0.256 0.082 0.418
4 Pt 0.000 0.500 0.500
5 Pt 0.500 0.000 0.000
6 Pt 0.000 0.168 0.832
7 Pt 0.000 0.832 0.168
8 Pt 0.256 0.418 0.082
9 Ni 0.749 0.255 0.255
10 Ni 0.500 0.339 0.661
11 Ni 0.500 0.661 0.339
12 Ni 0.251 0.745 0.745


# 8
NiPt3: optimized geometry, PBEsol.

Computed properties:
Energy of formation from the pure elements in eV per atom: -0.0271
VASP energy in eV/atom: -6.789
Magnetization in μB/f.u.: 1.46
Volume in Å³ per atom: 14.03

abc: 2.721 4.688 4.678
angles: 100.27 90.00 106.87
Element x y z (fractional)
1 Pt 0.256 0.512 0.756
2 Pt 0.744 0.488 0.244
3 Pt 0.500 0.000 0.500
4 Ni 0.000 0.000 0.000


# 9
Ni3Pt: optimized geometry, PBEsol.

Computed properties:
Energy of formation from the pure elements in eV per atom: -0.0351
VASP energy in eV/atom: -6.394
Magnetization in μB/f.u.: 2.26
Volume in Å³ per atom: 11.69

abc: 2.605 4.362 4.391
angles: 100.53 107.26 90.00
Element x y z (fractional)
1 Ni 0.500 0.000 0.000
2 Ni 0.753 0.760 0.506
3 Ni 0.247 0.240 0.494
4 Pt 0.000 0.500 0.000


# 10
Ni7Pt5: optimized geometry, PBEsol.

Computed properties:
Energy of formation from the pure elements in eV per atom: -0.0212
VASP energy in eV/atom: -6.515
Offset from the most stable computed form in eV/f.u.: 0.36
Magnetization in μB/f.u.: 6.10
Volume in Å³ per atom: 12.45

abc: 2.665 7.525 7.959
angles: 110.58 90.00 90.00
Element x y z (fractional)
1 Ni 0.000 0.238 0.421
2 Ni 0.000 0.763 0.263
3 Ni 0.500 0.000 0.804
4 Ni 0.000 0.237 0.737
5 Ni 0.500 0.000 0.500
6 Ni 0.000 0.762 0.579
7 Ni 0.500 0.000 0.196
8 Pt 0.000 0.216 0.072
9 Pt 0.000 0.784 0.928
10 Pt 0.500 0.501 0.336
11 Pt 0.500 0.500 0.000
12 Pt 0.500 0.499 0.664


# 11
Ni3Pt: optimized geometry, PBEsol.

Computed properties:
Energy of formation from the pure elements in eV per atom: -0.0224
VASP energy in eV/atom: -6.381
Magnetization in μB/f.u.: 2.31
Volume in Å³ per atom: 11.70

abc: 4.456 5.082 8.268
angles: 90.00 90.00 90.00
Element x y z (fractional)
1 Ni 0.241 0.630 0.003
2 Ni 0.420 0.876 0.250
3 Ni 0.741 0.870 0.003
4 Ni 0.080 0.376 0.750
5 Ni 0.741 0.870 0.497
6 Ni 0.759 0.370 0.503
7 Ni 0.759 0.370 0.997
8 Ni 0.259 0.130 0.503
9 Ni 0.920 0.624 0.250
10 Ni 0.259 0.130 0.997
11 Ni 0.241 0.630 0.497
12 Ni 0.580 0.124 0.750
13 Pt 0.924 0.113 0.250
14 Pt 0.424 0.387 0.250
15 Pt 0.576 0.613 0.750
16 Pt 0.076 0.887 0.750


# 12
Ni7Pt5: optimized geometry, PBEsol.

Computed properties:
Energy of formation from the pure elements in eV per atom: -0.0394
VASP energy in eV/atom: -6.533
Offset from the most stable computed form in eV/f.u.: 0.14
Magnetization in μB/f.u.: 6.56
Volume in Å³ per atom: 12.51

abc: 5.235 5.235 5.783
angles: 103.01 103.01 90.62
Element x y z (fractional)
1 Pt 0.000 0.500 0.500
2 Pt 0.500 0.500 0.500
3 Pt 0.323 0.323 0.846
4 Pt 0.500 0.000 0.500
5 Pt 0.677 0.677 0.154
6 Ni 0.000 0.000 0.500
7 Ni 0.836 0.328 0.840
8 Ni 0.844 0.844 0.836
9 Ni 0.328 0.836 0.840
10 Ni 0.164 0.672 0.160
11 Ni 0.156 0.156 0.164
12 Ni 0.672 0.164 0.160